Record 1
First-principles (PBE) data for a relaxed Ce2Zr2Pb3 crystal, as listed in Alexandria via LeMat-Bulk.

Formation enthalpy at 0 K   -0.1502 eV per atom
N(E_F)   16.29 states/eV/f.u.

a = 4.7677 Å, b = 23.8674 Å, c = 3.3127 Å
α = 90.00°, β = 90.00°, γ = 90.00°
Space group Cmmm (No. 65)
Asymmetric unit:
Ce (0.0000, 0.0762, 0.0000) [4 per cell]
Zr (0.0000, 0.2112, 0.0000) [4 per cell]
Pb (0.0000, 0.3370, 0.5000) [4 per cell]
Pb (0.0000, 0.5000, 0.5000) [2 per cell]

Record 2
First-principles (PBE) data for a relaxed CeZrPb2 crystal, as listed in Alexandria via LeMat-Bulk.

Energy above the lowest structure with this stoichiometry   0.035 eV/atom
Formation enthalpy at 0 K   -0.1882 eV per atom
N(E_F)   7.91 states/eV/f.u.

a = 4.9519 Å, b = 4.9519 Å, c = 15.9781 Å
α = 90.00°, β = 90.00°, γ = 120.00°
Space group R-3m (No. 166, hexagonal axes)
Asymmetric unit:
Ce (0.0000, 0.0000, 0.0000) [3 per cell]
Zr (0.0000, 0.0000, 0.5000) [3 per cell]
Pb (0.0000, 0.0000, 0.2398) [6 per cell]

Record 3
First-principles (PBE) data for a relaxed CeZr2Pb crystal, as listed in Alexandria via LeMat-Bulk.

Energy above the lowest structure with this stoichiometry   0.088 eV/atom
Formation enthalpy at 0 K   -0.1384 eV per atom
N(E_F)   6.40 states/eV/f.u.

a = 4.7753 Å, b = 4.7753 Å, c = 4.2531 Å
α = 90.00°, β = 90.00°, γ = 90.00°
Space group P4/mmm (No. 123)
Asymmetric unit:
Ce (0.0000, 0.0000, 0.0000) [1 per cell]
Zr (0.0000, 0.5000, 0.5000) [2 per cell]
Pb (0.5000, 0.5000, 0.0000) [1 per cell]

Record 4
First-principles (PBE) data for a relaxed Ce6Pd23 crystal, as listed in Alexandria via LeMat-Bulk.

Formation enthalpy at 0 K   -0.5639 eV per atom
N(E_F)   37.62 states/eV/f.u.

a = 12.9453 Å, b = 12.9453 Å, c = 12.9453 Å
α = 90.00°, β = 90.00°, γ = 90.00°
Space group Fm-3m (No. 225)
Asymmetric unit:
Ce (0.0000, 0.0000, 0.2260) [24 per cell]
Pd (0.0000, 0.0000, 0.5000) [4 per cell]
Pd (0.0000, 0.2500, 0.2500) [24 per cell]
Pd (0.1210, 0.1210, 0.3790) [32 per cell]
Pd (0.1666, 0.1666, 0.1666) [32 per cell]

Record 5
First-principles (PBE) data for a relaxed Ce2Pd13 crystal, as listed in Alexandria via LeMat-Bulk.

Energy above the lowest structure with this stoichiometry   0.000 eV/atom
Formation enthalpy at 0 K   -0.3052 eV per atom
N(E_F)   6.16 states/eV/f.u.

a = 7.1578 Å, b = 7.1578 Å, c = 18.2010 Å
α = 90.00°, β = 90.00°, γ = 120.00°
Space group R-3m (No. 166, hexagonal axes)
Asymmetric unit:
Ce (0.0000, 0.0000, 0.1662) [6 per cell]
Pd (0.0000, 0.0000, 0.0000) [3 per cell]
Pd (0.0671, 0.5336, 0.2268) [18 per cell]
Pd (0.0778, 0.5389, 0.3767) [18 per cell]

Record 6
First-principles (PBE) data for a relaxed Ce3Pd5 crystal, as listed in Alexandria via LeMat-Bulk.

Formation enthalpy at 0 K   -0.7267 eV per atom
N(E_F)   17.54 states/eV/f.u.

a = 9.2424 Å, b = 7.2407 Å, c = 10.0331 Å
α = 90.00°, β = 90.00°, γ = 90.00°
Space group Cmcm (No. 63)
Asymmetric unit:
Ce (0.0000, 0.1264, 0.2500) [4 per cell]
Ce (0.2001, 0.5000, 0.0000) [8 per cell]
Pd (0.0000, 0.1849, 0.5482) [8 per cell]
Pd (0.0000, 0.4707, 0.7500) [4 per cell]
Pd (0.2235, 0.2112, 0.7500) [8 per cell]

Record 7
First-principles (PBE) data for a relaxed Ce3Pd5 crystal, as listed in Alexandria via LeMat-Bulk.

Formation enthalpy at 0 K   -0.7535 eV per atom
N(E_F)   15.35 states/eV/f.u.

a = 7.1540 Å, b = 7.1540 Å, c = 3.8574 Å
α = 90.00°, β = 90.00°, γ = 120.00°
Space group P-62m (No. 189)
Asymmetric unit:
Ce (0.0000, 0.6441, 0.0000) [3 per cell]
Pd (0.0000, 0.2305, 0.5000) [3 per cell]
Pd (0.3333, 0.6667, 0.5000) [2 per cell]

Record 8
First-principles (PBE) data for a relaxed Ce2Pd13 crystal, as listed in Alexandria via LeMat-Bulk.

Energy above the lowest structure with this stoichiometry   0.226 eV/atom
Formation enthalpy at 0 K   -0.0790 eV per atom
N(E_F)   10.26 states/eV/f.u.

a = 7.2982 Å, b = 7.2982 Å, c = 20.5063 Å
α = 90.00°, β = 90.00°, γ = 120.00°
Space group R-3m (No. 166, hexagonal axes)
Asymmetric unit:
Ce (0.0000, 0.0000, 0.2482) [6 per cell]
Pd (0.0000, 0.0000, 0.0000) [3 per cell]
Pd (0.0780, 0.5390, 0.5604) [18 per cell]
Pd (0.0852, 0.5426, 0.3034) [18 per cell]

Record 9
First-principles (PBE) data for a relaxed CePd4 crystal, as listed in Alexandria via LeMat-Bulk.

Formation enthalpy at 0 K   -0.6658 eV per atom
N(E_F)   2.72 states/eV/f.u.

a = 4.3213 Å, b = 5.7580 Å, c = 14.1544 Å
α = 90.00°, β = 90.00°, γ = 90.00°
Space group Imma (No. 74)
Asymmetric unit:
Ce (0.0000, 0.2500, 0.1096) [4 per cell]
Pd (0.0000, 0.0000, 0.5000) [4 per cell]
Pd (0.0000, 0.0103, 0.6940) [8 per cell]
Pd (0.0000, 0.2500, 0.8956) [4 per cell]

Record 10
First-principles (PBE) data for a relaxed CePd4 crystal, as listed in Alexandria via LeMat-Bulk.

Formation enthalpy at 0 K   0.6522 eV per atom
N(E_F)   5.03 states/eV/f.u.

a = 4.9463 Å, b = 4.9463 Å, c = 4.9463 Å
α = 90.00°, β = 90.00°, γ = 90.00°
Space group Pm-3m (No. 221)
Asymmetric unit:
Ce (0.0000, 0.0000, 0.0000) [1 per cell]
Pd (0.0000, 0.0000, 0.5000) [3 per cell]
Pd (0.5000, 0.5000, 0.5000) [1 per cell]

Record 11
First-principles (PBE) data for a relaxed CePm2Pd2 crystal, as listed in Alexandria via LeMat-Bulk.

Formation enthalpy at 0 K   -0.5255 eV per atom
N(E_F)   9.71 states/eV/f.u.

a = 5.7369 Å, b = 4.5813 Å, c = 10.6228 Å
α = 90.00°, β = 95.73°, γ = 90.00°
Space group P2_1/m (No. 11)
Asymmetric unit:
Ce (0.1080, 0.2500, 0.2892) [2 per cell]
Pm (0.2549, 0.2500, 0.9612) [2 per cell]
Pm (0.3836, 0.2500, 0.6210) [2 per cell]
Pd (0.1507, 0.7500, 0.4756) [2 per cell]
Pd (0.2579, 0.7500, 0.1358) [2 per cell]

Record 12
First-principles (PBE) data for a relaxed CePmPd4 crystal, as listed in Alexandria via LeMat-Bulk.

Energy above the lowest structure with this stoichiometry   0.000 eV/atom
Formation enthalpy at 0 K   -0.7215 eV per atom
N(E_F)   7.59 states/eV/f.u.

a = 7.7861 Å, b = 7.7861 Å, c = 7.7861 Å
α = 90.00°, β = 90.00°, γ = 90.00°
Space group F-43m (No. 216)
Asymmetric unit:
Ce (0.0000, 0.0000, 0.0000) [4 per cell]
Pm (0.2500, 0.2500, 0.2500) [4 per cell]
Pd (0.1250, 0.1250, 0.6250) [16 per cell]

Record 13
First-principles (PBE) data for a relaxed CePmPd crystal, as listed in Alexandria via LeMat-Bulk.

Energy above the lowest structure with this stoichiometry   0.000 eV/atom
Formation enthalpy at 0 K   -0.4634 eV per atom
N(E_F)   4.92 states/eV/f.u.

a = 4.0677 Å, b = 4.5310 Å, c = 8.4362 Å
α = 90.00°, β = 92.80°, γ = 90.00°
Space group P2_1/m (No. 11)
Asymmetric unit:
Ce (0.1953, 0.2500, 0.4735) [2 per cell]
Pm (0.2633, 0.7500, 0.1383) [2 per cell]
Pd (0.2657, 0.7500, 0.7860) [2 per cell]